[1]
Below is crystalline AlFeW at its relaxed geometry, with properties calculated at the PBE level.

Cell lengths 4.0111, 4.0111, 4.0111 Å; angles 60.00, 60.00, 60.00 degrees
Closest atoms and distances in Å follow each position.
Element x y z (fractional)
Al  0.0000  0.0000  0.0000  4 Fe 2.46
Fe  0.7500  0.7500  0.7500  4 W 2.46, 4 Al 2.46
W  0.5000  0.5000  0.5000  4 Fe 2.46

Values from the calculation:
- E_form (kcal/mol of atoms) = 1.63
- crystal system = cubic
- DOS at the Fermi energy (states/eV per atom) = 0.9710
- relative energy among the computed polymorphs (meV per atom) = 218
- space-group type = F-43m (216)



[2]
Below is crystalline MgIr2Br at its relaxed geometry, with properties calculated at the PBE level.

Cell lengths 6.5600, 6.5600, 6.5600 Å; angles 148.00, 148.00, 45.89 degrees
Closest atoms and distances in Å follow each position.
Element x y z (fractional)
Mg  0.0000  0.0000  0.0000  4 Br 2.56
Ir  0.2500  0.7500  0.5000  4 Ir 2.56
Ir  0.7500  0.2500  0.5000  4 Ir 2.56
Br  0.5000  0.5000  0.0000  4 Mg 2.56

Values from the calculation:
- raw formation energy (eV/f.u.) = 2.0
- crystal system = tetragonal
- DOS at the Fermi energy (states/eV per atom) = 0.7698
- relative energy among the computed polymorphs (meV per atom) = 387
- space-group type = I4/mmm (139)



[3]
Below is crystalline NaTa3Hg at its relaxed geometry, with properties calculated at the PBE level.

Cell lengths 4.6892, 4.6892, 4.6892 Å; angles 90.00, 90.00, 90.00 degrees
Closest atoms and distances in Å follow each position.
Element x y z (fractional)
Na  0.0000  0.0000  0.0000  6 Ta 2.34
Ta  0.0000  0.0000  0.5000  2 Na 2.34
Ta  0.0000  0.5000  0.0000  2 Na 2.34
Ta  0.5000  0.0000  0.0000  2 Na 2.34
Hg  0.5000  0.5000  0.5000  12 Ta 3.32

Values from the calculation:
- E_form (kcal/mol of atoms) = 51.78
- crystal system = cubic
- DOS at the Fermi energy (states/eV per atom) = 1.4124
- relative energy among the computed polymorphs (meV per atom) = 9
- space-group type = Pm-3m (221)



[4]
Below is crystalline Pu3Ge4Au at its relaxed geometry, with properties calculated at the PBE level.

Cell lengths 8.1111, 8.1111, 8.1111 Å; angles 158.84, 114.89, 69.31 degrees
Closest atoms and distances in Å follow each position.
Element x y z (fractional)
Pu  0.0000  0.0000  0.0000  2 Pu 2.98, 8 Ge 3.05
Pu  0.2711  0.7711  0.5000  2 Pu 2.98, 6 Ge 3.03-3.05
Pu  0.7289  0.2289  0.5000  2 Pu 2.98, 6 Ge 3.03-3.05
Ge  0.1371  0.3861  0.7510  1 Au 2.65
Ge  0.3649  0.6139  0.7510  1 Au 2.65
Ge  0.6351  0.3861  0.2490  1 Au 2.65
Ge  0.8629  0.6139  0.2490  1 Au 2.65
Au  0.5000  0.5000  0.0000  4 Ge 2.65

Values from the calculation:
- E_form (kcal/mol of atoms) = -5.98
- crystal system = orthorhombic
- DOS at the Fermi energy (states/eV per atom) = 2.6401
- space-group type = Immm (71)



[5]
Below is crystalline La2Te at its relaxed geometry, with properties calculated at the PBE level.

Cell lengths 6.3974, 6.3974, 6.3974 Å; angles 109.21, 109.21, 109.99 degrees
Closest atoms and distances in Å follow each position.
Element x y z (fractional)
La  0.1611  0.6611  0.8222  4 Te 3.33, 1 La 3.38
La  0.3389  0.1611  0.5000  4 Te 3.33, 1 La 3.38
La  0.6611  0.8389  0.5000  4 Te 3.33, 1 La 3.38
La  0.8389  0.3389  0.1778  4 Te 3.33, 1 La 3.38
Te  0.2500  0.2500  0.0000  8 La 3.33, 2 Te 3.67
Te  0.7500  0.7500  0.0000  8 La 3.33, 2 Te 3.67

Values from the calculation:
- raw formation energy (eV/f.u.) = -2.9
- crystal system = tetragonal
- DOS at the Fermi energy (states/eV per atom) = 1.0894
- space-group type = I4/mcm (140)



[6]
Below is crystalline HfZrSbC2 at its relaxed geometry, with properties calculated at the PBE level.

Cell lengths 4.2750, 4.2750, 5.9563 Å; angles 90.00, 90.00, 90.00 degrees
Closest atoms and distances in Å follow each position.
Element x y z (fractional)
Hf  0.0000  0.0000  0.0000  2 Zr 2.98, 4 Sb 3.02
Zr  0.0000  0.0000  0.5000  4 C 2.14
Sb  0.5000  0.5000  0.0000  4 Hf 3.02
C  0.0000  0.5000  0.5000  2 Zr 2.14
C  0.5000  0.0000  0.5000  2 Zr 2.14

Values from the calculation:
- raw formation energy (eV/f.u.) = 8.0
- crystal system = tetragonal
- DOS at the Fermi energy (states/eV per atom) = 0.7244
- space-group type = P4/mmm (123)



[7]
Below is crystalline Li2PW at its relaxed geometry, with properties calculated at the PBE level.

Cell lengths 5.5111, 5.5111, 5.5111 Å; angles 100.43, 100.43, 129.63 degrees
Closest atoms and distances in Å follow each position.
Element x y z (fractional)
Li  0.0835  0.1250  0.4585  2 P 2.37, 2 Li 2.42
Li  0.3750  0.9165  0.0415  2 P 2.37, 2 Li 2.42
Li  0.6665  0.6250  0.5415  2 P 2.37, 2 Li 2.42
Li  0.8750  0.3335  0.9585  2 P 2.37, 2 Li 2.42
P  0.0000  0.0000  0.0000  2 W 2.35, 4 Li 2.37
P  0.7500  0.2500  0.5000  2 W 2.35, 4 Li 2.37
W  0.2500  0.7500  0.5000  2 P 2.35
W  0.5000  0.5000  0.0000  2 P 2.35

Values from the calculation:
- E_form (kcal/mol of atoms) = 8.06
- crystal system = tetragonal
- DOS at the Fermi energy (states/eV per atom) = 0.5929
- space-group type = I-42d (122)



- Among the records above, which one has the highest DOS at the Fermi energy?
  Pu3Ge4Au